Record 1
Computed, not measured: a relaxed YVNi4 crystal at the PBE-GGA level of DFT.

Results
**Space-group type**: F-43m (216)
**Calculated formation energy**: -0.97 eV per formula unit
**DOS at the Fermi energy**: 9.9 states/eV/f.u.

a = 4.9110 Å, b = 4.9110 Å, c = 4.9110 Å
α = 60.00°, β = 60.00°, γ = 60.00°
Fractional positions:
Y  0.0000  0.0000  0.0000
V  0.7500  0.7500  0.7500
Ni  0.3764  0.3764  0.3764
Ni  0.3764  0.3764  0.8709
Ni  0.3764  0.8709  0.3764
Ni  0.8709  0.3764  0.3764

=====

Record 2
Computed, not measured: a relaxed HfAg3Ge crystal at the PBE-GGA level of DFT.

Results
**Excess energy over the best structure of this formula in the dataset**: 0 meV per atom
**Space-group type**: Pm-3m (221)
**Calculated formation energy**: 3.60 eV per formula unit
**DOS at the Fermi energy**: 4.1 states/eV/f.u.

a = 4.7735 Å, b = 4.7735 Å, c = 4.7735 Å
α = 90.00°, β = 90.00°, γ = 90.00°
Fractional positions:
Hf  0.0000  0.0000  0.0000
Ag  0.0000  0.5000  0.5000
Ag  0.5000  0.0000  0.5000
Ag  0.5000  0.5000  0.0000
Ge  0.5000  0.5000  0.5000

=====

Record 3
Computed, not measured: a relaxed KSr2BeAg crystal at the PBE-GGA level of DFT.

Results
**Excess energy over the best structure of this formula in the dataset**: 0 meV per atom
**Space-group type**: P4/mmm (123)
**Calculated formation energy**: 2.34 eV per formula unit
**DOS at the Fermi energy**: 3.4 states/eV/f.u.

a = 5.9405 Å, b = 5.9405 Å, c = 5.9428 Å
α = 90.00°, β = 90.00°, γ = 90.00°
Fractional positions:
K  0.0000  0.0000  0.0000
Sr  0.0000  0.5000  0.5000
Sr  0.5000  0.0000  0.5000
Be  0.0000  0.0000  0.5000
Ag  0.5000  0.5000  0.0000

=====

Record 4
Computed, not measured: a relaxed Dy8Te4SeS3 crystal at the PBE-GGA level of DFT.

Results
**Space-group type**: R-3m (166)
**Final energy**: -5.703 eV/atom
**DOS at the Fermi energy**: 5.1 states/eV/f.u.

a = 8.3965 Å, b = 8.3965 Å, c = 8.3965 Å
α = 58.72°, β = 58.72°, γ = 58.72°
Fractional positions:
Dy  0.2249  0.7402  0.7402
Dy  0.2342  0.2342  0.2342
Dy  0.2598  0.2598  0.7751
Dy  0.2598  0.7751  0.2598
Dy  0.7402  0.2249  0.7402
Dy  0.7402  0.7402  0.2249
Dy  0.7658  0.7658  0.7658
Dy  0.7751  0.2598  0.2598
Te  0.0000  0.0000  0.0000
Te  0.0000  0.5000  0.5000
Te  0.5000  0.0000  0.5000
Te  0.5000  0.5000  0.0000
Se  0.5000  0.5000  0.5000
S  0.0000  0.0000  0.5000
S  0.0000  0.5000  0.0000
S  0.5000  0.0000  0.0000

=====

Record 5
Computed, not measured: a relaxed TaMo3 crystal at the PBE-GGA level of DFT.

Results
**Space-group type**: Pm-3m (221)
**Calculated formation energy**: 11.27 eV per formula unit
**DOS at the Fermi energy**: 2.6 states/eV/f.u.

a = 4.7946 Å, b = 4.7946 Å, c = 4.7946 Å
α = 90.00°, β = 90.00°, γ = 90.00°
Fractional positions:
Ta  0.0000  0.0000  0.0000
Mo  0.0000  0.0000  0.5000
Mo  0.0000  0.5000  0.0000
Mo  0.5000  0.0000  0.0000

=====

Record 6
Computed, not measured: a relaxed Sm4DyAl5 crystal at the PBE-GGA level of DFT.

Results
**Space-group type**: P4/mmm (123)
**Calculated formation energy**: -3.78 eV per formula unit
**DOS at the Fermi energy**: 3.5 states/eV/f.u.

a = 3.6608 Å, b = 3.6608 Å, c = 18.3306 Å
α = 90.00°, β = 90.00°, γ = 90.00°
Fractional positions:
Sm  0.0000  0.0000  0.1011
Sm  0.0000  0.0000  0.3034
Sm  0.0000  0.0000  0.6966
Sm  0.0000  0.0000  0.8989
Dy  0.0000  0.0000  0.5000
Al  0.5000  0.5000  0.0000
Al  0.5000  0.5000  0.2022
Al  0.5000  0.5000  0.4055
Al  0.5000  0.5000  0.5945
Al  0.5000  0.5000  0.7978

=====

Record 7
Computed, not measured: a relaxed Al2WCl crystal at the PBE-GGA level of DFT.

Results
**Excess energy over the best structure of this formula in the dataset**: 241 meV per atom
**Space-group type**: Cm (8)
**DOS at the Fermi energy**: 1.4 states/eV/f.u.

a = 10.0650 Å, b = 2.8621 Å, c = 4.9162 Å
α = 90.00°, β = 105.38°, γ = 90.00°
Fractional positions:
Al  0.0000  0.0000  0.0000
Al  0.2051  0.0000  0.6226
Al  0.5000  0.5000  0.0000
Al  0.7051  0.5000  0.6226
W  0.4692  0.0000  0.5185
W  0.9692  0.5000  0.5185
Cl  0.2956  0.5000  0.1778
Cl  0.7956  0.0000  0.1778

=====

Record 8
Computed, not measured: a relaxed Re2PtRh4 crystal at the PBE-GGA level of DFT.

Results
**Space-group type**: I-42d (122)
**Calculated formation energy**: 2.73 eV per formula unit
**DOS at the Fermi energy**: 6.4 states/eV/f.u.

a = 6.6029 Å, b = 6.6029 Å, c = 6.6029 Å
α = 109.79°, β = 109.79°, γ = 108.85°
Fractional positions:
Re  0.0131  0.1250  0.3881
Re  0.3750  0.9869  0.1119
Re  0.7369  0.6250  0.6119
Re  0.8750  0.2631  0.8881
Pt  0.2500  0.7500  0.5000
Pt  0.5000  0.5000  0.0000
Rh  0.0963  0.5320  0.7427
Rh  0.1035  0.0393  0.7573
Rh  0.2820  0.3463  0.2427
Rh  0.4680  0.2107  0.5643
Rh  0.6465  0.9037  0.4357
Rh  0.6537  0.8965  0.9357
Rh  0.7893  0.3535  0.2573
Rh  0.9607  0.7180  0.0643

=====

Short version: calculated volume = 13.959 21.754 41.944 25.395 27.556 24.565 17.069 15.828 A^3/atom, in the order given.